# 1
{
  "formula": "RbInTe",
  "functional": "GGA-PBE",
  "state": "relaxed",
  "cell": [[-3.1390, -2.4967, 5.3663], [4.1485, -1.1777, 1.8788], [-1.8636, 4.2289, 0.8773]],
  "species": ["Te", "In", "Rb"],
  "fractional_positions": [[0.2892, 0.3333, 0.6667], [0.0638, 0.0000, 0.0000], [0.6470, 0.6667, 0.3333]],
  "formation_energy_uncorrected_ev_per_atom": -0.584,
  "density_g_cm3": 4.2
}

=====

# 2
{
  "formula": "Ac4RuI2Cl",
  "functional": "GGA-PBE",
  "state": "relaxed",
  "cell": [[-2.7433, 1.6264, 2.9407], [-4.4387, -6.7169, -0.4257], [6.0303, -1.3907, 6.3945]],
  "species": ["Ru", "I", "Ac", "Ac", "Ac", "Ac", "I", "Cl"],
  "fractional_positions": [[0.5000, 0.5000, 0.0000], [0.0000, 0.5000, 0.5000], [0.0000, 0.7002, 0.1889], [0.5000, 0.7398, 0.8054], [0.5000, 0.2602, 0.1946], [0.0000, 0.2998, 0.8111], [0.5000, 0.0000, 0.5000], [0.0000, 0.0000, 0.0000]],
  "formation_energy_uncorrected_ev_per_atom": -0.950,
  "density_g_cm3": 7.2
}

=====

# 3
{
  "formula": "ScMn4Ir",
  "functional": "GGA-PBE",
  "state": "relaxed",
  "cell": [[0.0000, 3.3726, 3.3726], [3.3726, 0.0000, 3.3726], [3.3726, 3.3726, 0.0000]],
  "species": ["Sc", "Mn", "Mn", "Ir", "Mn", "Mn"],
  "fractional_positions": [[0.7500, 0.7500, 0.7500], [0.3774, 0.8677, 0.3774], [0.8677, 0.3774, 0.3774], [0.0000, 0.0000, 0.0000], [0.3774, 0.3774, 0.8677], [0.3774, 0.3774, 0.3774]],
  "density_g_cm3": 9.9,
  "formation_energy_ev_per_atom": -0.09
}

=====

# 4
{
  "formula": "Pt",
  "functional": "GGA-PBE",
  "state": "relaxed",
  "cell": [[-5.4092, 0.5168, -4.4969], [-2.2474, -6.3891, 1.9691], [-3.9292, 2.9430, 5.0645]],
  "species": ["Pt", "Pt", "Pt", "Pt", "Pt", "Pt", "Pt", "Pt", "Pt", "Pt", "Pt", "Pt"],
  "fractional_positions": [[0.0000, 0.5000, 0.7500], [0.7500, 0.5000, 0.0000], [0.0000, 0.7500, 0.5000], [0.5000, 0.0000, 0.7500], [0.0000, 0.5000, 0.2500], [0.5000, 0.0000, 0.2500], [0.2500, 0.0000, 0.5000], [0.0000, 0.2500, 0.5000], [0.2500, 0.5000, 0.0000], [0.7500, 0.0000, 0.5000], [0.5000, 0.7500, 0.0000], [0.5000, 0.2500, 0.0000]],
  "density_g_cm3": 11.1,
  "formation_energy_ev_per_atom": 0.90
}

=====

# 5
{
  "formula": "Y2CdRu2",
  "functional": "GGA-PBE",
  "state": "relaxed",
  "cell": [[-6.6704, 0.6911, 2.5388], [-2.4671, -4.0480, -5.3800], [0.5328, -3.4241, 2.3320]],
  "species": ["Ru", "Ru", "Cd", "Y", "Ru", "Y", "Cd", "Ru", "Y", "Y"],
  "fractional_positions": [[0.6240, 0.1240, 0.0000], [0.1240, 0.3760, 0.0000], [0.0000, 0.0000, 0.0000], [0.8238, 0.3238, 0.5000], [0.3760, 0.8760, 0.0000], [0.3238, 0.1762, 0.5000], [0.5000, 0.5000, 0.0000], [0.8760, 0.6240, 0.0000], [0.6762, 0.8238, 0.5000], [0.1762, 0.6762, 0.5000]],
  "density_g_cm3": 7.6,
  "formation_energy_ev_per_atom": -0.25
}

=====

# 6
{
  "formula": "Ag2TeIr",
  "functional": "GGA-PBE",
  "state": "relaxed",
  "cell": [[3.5097, 0.0000, 0.0000], [0.0000, 3.5097, 0.0000], [0.0000, 0.0000, 6.2195]],
  "species": ["Te", "Ag", "Ir", "Ag"],
  "fractional_positions": [[0.5000, 0.5000, 0.7031], [0.5000, 0.5000, 0.2470], [0.0000, 0.0000, 0.5200], [0.0000, 0.0000, 0.0299]],
  "formation_energy_uncorrected_ev_per_atom": 0.256,
  "density_g_cm3": 11.6
}

=====

# 7
{
  "formula": "TlIN2",
  "functional": "GGA-PBE",
  "state": "relaxed",
  "cell": [[0.5223, -3.9418, 6.7497], [3.5461, -4.5525, 5.2980], [3.0389, -1.6583, 7.0274]],
  "species": ["N", "I", "N", "Tl"],
  "fractional_positions": [[0.8852, 0.8852, 0.8852], [0.5000, 0.5000, 0.5000], [0.1148, 0.1148, 0.1148], [0.0000, 0.0000, 0.0000]],
  "formation_energy_uncorrected_ev_per_atom": 1.589,
  "density_g_cm3": 7.8
}

=====

# 8
{
  "formula": "Na3Sm2PbS6",
  "functional": "GGA-PBE",
  "state": "relaxed",
  "cell": [[7.0650, 0.0014, -0.0013], [-3.5296, 6.1202, -0.0013], [-1.1808, -2.0445, 6.7209]],
  "species": ["Pb", "S", "S", "S", "Sm", "Na", "S", "Sm", "S", "Na", "S", "Na"],
  "fractional_positions": [[0.0000, 0.0000, 0.0000], [0.4169, 0.0785, 0.2342], [0.2609, 0.2609, 0.7661], [0.0785, 0.4169, 0.2342], [0.3330, 0.6670, 0.0000], [0.8374, 0.1626, 0.5000], [0.7391, 0.7391, 0.2339], [0.6670, 0.3330, 0.0000], [0.9215, 0.5831, 0.7658], [0.5000, 0.5000, 0.5000], [0.5831, 0.9215, 0.7658], [0.1626, 0.8374, 0.5000]],
  "formation_energy_uncorrected_ev_per_atom": -1.398,
  "density_g_cm3": 4.4
}

=====

Number 1: final energy -8.60 eV per cell. Number 2: final energy -38.26 eV per cell. Number 3: final energy -52.44 eV per cell. Number 4: final energy -61.70 eV per cell. Number 5: final energy -67.30 eV per cell. Number 6: final energy -16.68 eV per cell. Number 7: final energy -14.21 eV per cell. Number 8: final energy -58.65 eV per cell.